This record from Alexandria via LeMat-Bulk describes a relaxed structure of CrSb2IO. The functional is GGA+U.

Properties
D(E_F) ... 6.4 states/eV/f.u.
Energy ... -3.57 eV per atom

Cell lengths 5.1898, 5.1898, 5.4698 Å; angles 90.00, 90.00, 90.00 degrees
Last column: nearest neighbours and their distance in Å.
Space group P4/mmm (No. 123)
One atom of each set of equivalent atoms:
Cr 0.0000 0.0000 0.0000 [1 per cell]  4 Sb 2.59, 2 I 2.73
Sb 0.0000 0.5000 0.0000 [2 per cell]  2 Cr 2.59
I 0.0000 0.0000 0.5000 [1 per cell]  2 Cr 2.73
O 0.5000 0.5000 0.5000 [1 per cell]  4 I 3.67, 8 Sb 3.77